## Ac3ZnTe2 (PBE)

Data for a relaxed Ac3ZnTe2 crystal.

The structure in POSCAR format:
```
Ac3ZnTe2
1.0
9.459 0.000 0.000
0.000 6.659 0.000
0.000 0.000 14.043
Ac Zn Te
12 4 8
Direct
0.111 0.250 0.076
0.130 0.250 0.749
0.139 0.250 0.419
0.361 0.750 0.919
0.370 0.750 0.249
0.389 0.750 0.576
0.611 0.250 0.424
0.630 0.250 0.751
0.639 0.250 0.081
0.861 0.750 0.581
0.870 0.750 0.251
0.889 0.750 0.924
0.123 0.750 0.092
0.377 0.250 0.592
0.623 0.750 0.408
0.877 0.250 0.908
0.120 0.750 0.419
0.126 0.750 0.741
0.374 0.250 0.241
0.380 0.250 0.919
0.620 0.750 0.081
0.626 0.750 0.759
0.874 0.250 0.259
0.880 0.250 0.581
```

Values from the calculation:
* electronic total energy: -4.36 eV per atom
* space group: Pnma


## Cs2NaYCl6 (PBE)

Data for a relaxed Cs2NaYCl6 crystal.

The structure in POSCAR format:
```
Cs2NaYCl6
1.0
0.000 5.458 5.458
5.458 0.000 5.458
5.458 5.458 0.000
Cs Na Y Cl
2 1 1 6
Direct
0.250 0.250 0.250
0.750 0.750 0.750
0.000 0.000 0.000
0.500 0.500 0.500
0.257 0.257 0.743
0.257 0.743 0.257
0.257 0.743 0.743
0.743 0.257 0.257
0.743 0.257 0.743
0.743 0.743 0.257
```

Values from the calculation:
* electronic total energy: -4.20 eV per atom
* space group: Fm-3m


no.,magnetization (μB per atom),formation energy (no corrections) (eV per atom)
1,0.000,-1.046
2,0.000,-2.142